# TaSe, optimized geometry, DFT PBE
data_TaSe
_chemical_formula_sum 'Ta4 Se4'
_space_group_name_H-M_alt 'F m -3 m'
_space_group_IT_number 225
_space_group_name_Hall '-F 4 2 3'
_cell_length_a 5.302
_cell_length_b 5.302
_cell_length_c 5.302
_cell_angle_alpha 90.00
_cell_angle_beta 90.00
_cell_angle_gamma 90.00
loop_
_atom_site_label
_atom_site_fract_x
_atom_site_fract_y
_atom_site_fract_z
Ta1 0.000 0.000 0.000
Se1 0.000 0.000 0.500
# total energy	-7.339	eV per atom